1.
Ce3Sm2ScS6 | PBE | relaxed

Cell and atoms, written as CIF:
```
data_Ce3Sm2ScS6
_chemical_formula_sum 'Ce6 Sm4 Sc2 S12'
_symmetry_space_group_name_H-M 'C 1 2/m 1'
_symmetry_Int_Tables_number 12
_cell_length_a 17.317
_cell_length_b 3.959
_cell_length_c 7.975
_cell_angle_alpha 90.00
_cell_angle_beta 103.58
_cell_angle_gamma 90.00
loop_
_symmetry_equiv_pos_as_xyz
'x,y,z'
'-x,-y,-z'
'-x,y,-z'
'x,-y,z'
'x+1/2,y+1/2,z'
'-x+1/2,-y+1/2,-z'
'-x+1/2,y+1/2,-z'
'x+1/2,-y+1/2,z'
loop_
_atom_site_label
_atom_site_type_symbol
_atom_site_fract_x
_atom_site_fract_y
_atom_site_fract_z
Ce1 Ce 0.000 0.000 0.000
Ce2 Ce 0.169 0.500 0.335
Sm1 Sm 0.165 0.500 0.832
Sc1 Sc 0.000 0.000 0.500
S1 S 0.001 0.500 0.269
S2 S 0.159 0.000 0.580
S3 S 0.168 0.000 0.082
```

---

2.
CeSm2ScS4 | PBE | relaxed

Cell and atoms, written as CIF:
```
data_CeSm2ScS4
_chemical_formula_sum 'Ce1 Sm2 Sc1 S4'
_symmetry_space_group_name_H-M 'P 1 2/m 1'
_symmetry_Int_Tables_number 10
_cell_length_a 6.820
_cell_length_b 3.922
_cell_length_c 6.847
_cell_angle_alpha 90.00
_cell_angle_beta 109.20
_cell_angle_gamma 90.00
loop_
_symmetry_equiv_pos_as_xyz
'x,y,z'
'-x,-y,-z'
'-x,y,-z'
'x,-y,z'
loop_
_atom_site_label
_atom_site_type_symbol
_atom_site_fract_x
_atom_site_fract_y
_atom_site_fract_z
Ce1 Ce 0.000 0.000 0.000
Sm1 Sm 0.500 0.000 0.500
Sm2 Sm 0.500 0.500 0.000
Sc1 Sc 0.000 0.500 0.500
S1 S 0.233 0.000 0.733
S2 S 0.242 0.500 0.259
```

---

3.
CeSmSc2S4 | PBE | relaxed

Cell and atoms, written as CIF:
```
data_CeSmSc2S4
_chemical_formula_sum 'Ce1 Sm1 Sc2 S4'
_symmetry_space_group_name_H-M 'P 1 2/m 1'
_symmetry_Int_Tables_number 10
_cell_length_a 6.625
_cell_length_b 3.814
_cell_length_c 6.774
_cell_angle_alpha 90.00
_cell_angle_beta 108.96
_cell_angle_gamma 90.00
loop_
_symmetry_equiv_pos_as_xyz
'x,y,z'
'-x,-y,-z'
'-x,y,-z'
'x,-y,z'
loop_
_atom_site_label
_atom_site_type_symbol
_atom_site_fract_x
_atom_site_fract_y
_atom_site_fract_z
Ce1 Ce 0.000 0.000 0.000
Sm1 Sm 0.500 0.500 0.000
Sc1 Sc 0.000 0.500 0.500
Sc2 Sc 0.500 0.000 0.500
S1 S 0.242 0.000 0.724
S2 S 0.260 0.500 0.276
```

---

4.
CeSm2ScS6 | PBE | relaxed

Cell and atoms, written as CIF:
```
data_CeSm2ScS6
_chemical_formula_sum 'Ce3 Sm6 Sc3 S18'
_symmetry_space_group_name_H-M 'R 3'
_symmetry_Int_Tables_number 146
_symmetry_space_group_name_Hall 'R 3'
_cell_length_a 6.9727
_cell_length_b 6.9727
_cell_length_c 18.4824
_cell_angle_alpha 90.00
_cell_angle_beta 90.00
_cell_angle_gamma 120.00
loop_
_atom_site_label
_atom_site_type_symbol
_atom_site_fract_x
_atom_site_fract_y
_atom_site_fract_z
Ce1 Ce 0.0000 0.0000 0.0000
Sm1 Sm 0.0000 0.0000 0.2908
Sm2 Sm 0.0000 0.0000 0.7958
Sc1 Sc 0.0000 0.0000 0.4938
S1 S 0.0391 0.3428 0.5640
S2 S 0.0481 0.6701 0.0677
```

---

5.
Sr2CeScS6 | PBE | relaxed

Cell and atoms, written as CIF:
```
data_Sr2CeScS6
_chemical_formula_sum 'Sr4 Ce2 Sc2 S12'
_symmetry_space_group_name_H-M 'P 1 21/c 1'
_symmetry_Int_Tables_number 14
_cell_length_a 7.010
_cell_length_b 7.407
_cell_length_c 11.806
_cell_angle_alpha 90.00
_cell_angle_beta 123.82
_cell_angle_gamma 90.00
loop_
_symmetry_equiv_pos_as_xyz
'x,y,z'
'-x,-y,-z'
'-x,y+1/2,-z+1/2'
'x,-y+1/2,z+1/2'
loop_
_atom_site_label
_atom_site_type_symbol
_atom_site_fract_x
_atom_site_fract_y
_atom_site_fract_z
Sr1 Sr 0.215 0.079 0.243
Ce1 Ce 0.500 0.000 0.000
Sc1 Sc 0.000 0.000 0.500
S1 S 0.134 0.207 0.941
S2 S 0.237 0.697 0.940
S3 S 0.359 0.036 0.740
```

---

6.
TbCeSc2S4 | PBE | relaxed

Cell and atoms, written as CIF:
```
data_TbCeSc2S4
_chemical_formula_sum 'Tb1 Ce1 Sc2 S4'
_symmetry_space_group_name_H-M 'P 1 2/m 1'
_symmetry_Int_Tables_number 10
_cell_length_a 6.619
_cell_length_b 3.805
_cell_length_c 6.696
_cell_angle_alpha 90.00
_cell_angle_beta 109.10
_cell_angle_gamma 90.00
loop_
_symmetry_equiv_pos_as_xyz
'x,y,z'
'-x,-y,-z'
'-x,y,-z'
'x,-y,z'
loop_
_atom_site_label
_atom_site_type_symbol
_atom_site_fract_x
_atom_site_fract_y
_atom_site_fract_z
Tb1 Tb 0.000 0.000 0.000
Ce1 Ce 0.500 0.500 0.000
Sc1 Sc 0.000 0.500 0.500
Sc2 Sc 0.500 0.000 0.500
S1 S 0.238 0.000 0.726
S2 S 0.253 0.500 0.271
```

---

7.
Tb4Ce3ScS8 | PBE | relaxed

Cell and atoms, written as CIF:
```
data_Tb4Ce3ScS8
_chemical_formula_sum 'Tb12 Ce9 Sc3 S24'
_symmetry_space_group_name_H-M 'R -3 m'
_symmetry_Int_Tables_number 166
_symmetry_space_group_name_Hall '-R 3 2"'
_cell_length_a 7.8708
_cell_length_b 7.8708
_cell_length_c 19.3216
_cell_angle_alpha 90.00
_cell_angle_beta 90.00
_cell_angle_gamma 120.00
loop_
_atom_site_label
_atom_site_type_symbol
_atom_site_fract_x
_atom_site_fract_y
_atom_site_fract_z
Tb1 Tb 0.0000 0.0000 0.0000
Tb2 Tb 0.0000 0.5000 0.0000
Ce1 Ce 0.0000 0.5000 0.5000
Sc1 Sc 0.0000 0.0000 0.5000
S1 S 0.0000 0.0000 0.2531
S2 S 0.0109 0.5055 0.2500
```

---

8.
Tb4CeSc3S8 | PBE | relaxed

Cell and atoms, written as CIF:
```
data_Tb4CeSc3S8
_chemical_formula_sum 'Tb12 Ce3 Sc9 S24'
_symmetry_space_group_name_H-M 'R -3 m'
_symmetry_Int_Tables_number 166
_symmetry_space_group_name_Hall '-R 3 2"'
_cell_length_a 7.7153
_cell_length_b 7.7153
_cell_length_c 18.8899
_cell_angle_alpha 90.00
_cell_angle_beta 90.00
_cell_angle_gamma 120.00
loop_
_atom_site_label
_atom_site_type_symbol
_atom_site_fract_x
_atom_site_fract_y
_atom_site_fract_z
Tb1 Tb 0.0000 0.0000 0.0000
Tb2 Tb 0.0000 0.5000 0.0000
Ce1 Ce 0.0000 0.0000 0.5000
Sc1 Sc 0.0000 0.5000 0.5000
S1 S 0.0000 0.0000 0.2441
S2 S 0.0107 0.5054 0.7533
```

---

9.
Tb4CeScS8 | PBE | relaxed

Cell and atoms, written as CIF:
```
data_Tb4CeScS8
_chemical_formula_sum 'Tb12 Ce3 Sc3 S24'
_symmetry_space_group_name_H-M 'R 3 m'
_symmetry_Int_Tables_number 160
_symmetry_space_group_name_Hall 'R 3 -2"'
_cell_length_a 8.1382
_cell_length_b 8.1382
_cell_length_c 19.3298
_cell_angle_alpha 90.00
_cell_angle_beta 90.00
_cell_angle_gamma 120.00
loop_
_atom_site_label
_atom_site_type_symbol
_atom_site_fract_x
_atom_site_fract_y
_atom_site_fract_z
Tb1 Tb 0.0000 0.0000 0.0000
Tb2 Tb 0.0001 0.5000 0.8800
Ce1 Ce 0.0000 0.0000 0.7613
Sc1 Sc 0.0000 0.0000 0.3802
S1 S 0.0000 0.0000 0.1356
S2 S 0.0000 0.0000 0.6212
S3 S 0.0392 0.5196 0.1298
S4 S 0.1811 0.3623 0.9648
```

---

10.
TbCeScS3 | PBE | relaxed

Cell and atoms, written as CIF:
```
data_TbCeScS3
_chemical_formula_sum 'Tb2 Ce2 Sc2 S6'
_symmetry_space_group_name_H-M 'P 1 21/m 1'
_symmetry_Int_Tables_number 11
_cell_length_a 8.249
_cell_length_b 3.790
_cell_length_c 9.290
_cell_angle_alpha 90.00
_cell_angle_beta 98.14
_cell_angle_gamma 90.00
loop_
_symmetry_equiv_pos_as_xyz
'x,y,z'
'-x,-y,-z'
'-x,y+1/2,-z'
'x,-y+1/2,z'
loop_
_atom_site_label
_atom_site_type_symbol
_atom_site_fract_x
_atom_site_fract_y
_atom_site_fract_z
Tb1 Tb 0.141 0.250 0.131
Ce1 Ce 0.350 0.750 0.815
Sc1 Sc 0.372 0.750 0.406
S1 S 0.089 0.250 0.837
S2 S 0.312 0.250 0.568
S3 S 0.384 0.750 0.129
```

---

Uncorrected formation energy across the listed records, respectively: -1.992, -1.965, -1.939, -1.946, -1.748, -1.936, -1.995, -1.938, -1.889, -1.758 eV per atom.